Model one:
The following is a DFT calculation (PBE) of a relaxed structure of CsBe2Rh2.

## Properties
* space group: I4/mmm, No. 139
* total magnetic moment: 0.000 μB/atom

Cell and atoms, written as POSCAR:
```
CsBe2Rh2
1.0
-2.081 2.081 6.378
2.081 -2.081 6.378
2.081 2.081 -6.378
Cs Be Rh
1 2 2
direct
0.000 0.000 0.000
0.304 0.304 0.000
0.696 0.696 0.000
0.250 0.750 0.500
0.750 0.250 0.500
```

***

Model two:
The following is a DFT calculation (PBE) of a relaxed structure of CsBe2Rh2.

## Properties
* space group: P4/mbm, No. 127
* total magnetic moment: 0.000 μB/atom

Cell and atoms, written as POSCAR:
```
CsBe2Rh2
1.0
7.921 0.000 0.000
0.000 7.921 0.000
0.000 0.000 3.061
Cs Be Rh
2 4 4
direct
0.000 0.000 0.000
0.500 0.500 0.000
0.094 0.406 0.000
0.406 0.906 0.000
0.594 0.094 0.000
0.906 0.594 0.000
0.123 0.623 0.500
0.377 0.123 0.500
0.623 0.877 0.500
0.877 0.377 0.500
```

***

Here is how they stack up, most stable first: model one, model two.